Record 1
The following is a DFT calculation (PBEsol) of a geometry-optimized AlF3 structure.

Values from the calculation:
The value obtained for the total moment is 0.00 μB/f.u. As for the total energy: -145.29 eV for the cell shown. As for the formation energy from raw total energies: -3.585 eV per atom.

Structure (CIF):
```
data_AlF3
_chemical_formula_sum 'Al6 F18'
_cell_length_a 4.9384
_cell_length_b 4.9384
_cell_length_c 12.5081
_cell_angle_alpha 90.00
_cell_angle_beta 90.00
_cell_angle_gamma 120.00
_symmetry_space_group_name_H-M 'R -3 c'
_symmetry_Int_Tables_number 167
_symmetry_space_group_name_Hall '-R 3 2"c'
loop_
_atom_site_label
_atom_site_type_symbol
_atom_site_fract_x
_atom_site_fract_y
_atom_site_fract_z
Al1 Al 0.0000 0.0000 0.0000
F1 F 0.0000 0.4227 0.2500
```



Record 2
The following is a DFT calculation (PBEsol) of a geometry-optimized CaTaPbS2 structure.

Values from the calculation:
The value obtained for the total moment is 0.26 μB/f.u. As for the total energy: -27.82 eV for the cell shown. As for the formation energy from raw total energies: -0.074 eV per atom.

Structure (CIF):
```
data_CaTaPbS2
_chemical_formula_sum 'Ca1 Ta1 Pb1 S2'
_cell_length_a 4.715
_cell_length_b 4.715
_cell_length_c 5.974
_cell_angle_alpha 90.00
_cell_angle_beta 90.00
_cell_angle_gamma 90.00
_symmetry_space_group_name_H-M 'P 4/m m m'
_symmetry_Int_Tables_number 123
_symmetry_space_group_name_Hall '-P 4 2'
loop_
_atom_site_label
_atom_site_type_symbol
_atom_site_fract_x
_atom_site_fract_y
_atom_site_fract_z
Ca1 Ca 0.000 0.000 0.000
Ta1 Ta 0.000 0.000 0.500
Pb1 Pb 0.500 0.500 0.000
S1 S 0.000 0.500 0.500
```



Record 3
The following is a DFT calculation (PBEsol) of a geometry-optimized MgIrAu structure.

Values from the calculation:
The value obtained for the total moment is 0.00 μB/f.u. As for the total energy: -61.98 eV for the cell shown. The value obtained for the distance to the lowest polymorph of the same formula is 36 meV per atom. For the formation energy from the elements, the calculation gives -10 meV/atom.

Structure (CIF):
```
data_MgIrAu
_chemical_formula_sum 'Mg4 Ir4 Au4'
_cell_length_a 2.973
_cell_length_b 4.691
_cell_length_c 13.552
_cell_angle_alpha 90.00
_cell_angle_beta 90.00
_cell_angle_gamma 90.00
_symmetry_space_group_name_H-M 'F m m 2'
_symmetry_Int_Tables_number 42
_symmetry_space_group_name_Hall 'F 2 -2'
loop_
_atom_site_label
_atom_site_type_symbol
_atom_site_fract_x
_atom_site_fract_y
_atom_site_fract_z
Mg1 Mg 0.000 0.000 0.000
Ir1 Ir 0.000 0.000 0.345
Au1 Au 0.000 0.000 0.667
```



Record 4
The following is a DFT calculation (PBEsol) of a geometry-optimized Bi4Ir structure.

Values from the calculation:
The value obtained for the total moment is 0.00 μB/f.u. As for the total energy: -728.09 eV for the cell shown. For the formation energy from the elements, the calculation gives 0 meV/atom.

Structure (CIF):
```
data_Bi4Ir
_chemical_formula_sum 'Bi108 Ir27'
_cell_length_a 26.1176
_cell_length_b 26.1176
_cell_length_c 7.0878
_cell_angle_alpha 90.00
_cell_angle_beta 90.00
_cell_angle_gamma 120.00
_symmetry_space_group_name_H-M 'R -3 m'
_symmetry_Int_Tables_number 166
_symmetry_space_group_name_Hall '-R 3 2"'
loop_
_atom_site_label
_atom_site_type_symbol
_atom_site_fract_x
_atom_site_fract_y
_atom_site_fract_z
Bi1 Bi 0.0473 0.4600 0.2857
Bi2 Bi 0.0557 0.1114 0.3278
Bi3 Bi 0.0593 0.2364 0.1823
Bi4 Bi 0.0871 0.1743 0.7546
Ir1 Ir 0.0000 0.1691 0.5000
Ir2 Ir 0.0000 0.5000 0.0000
```



Record 5
The following is a DFT calculation (PBEsol) of a geometry-optimized SiSnI2 structure.

Values from the calculation:
The value obtained for the total moment is 0.00 μB/f.u. As for the total energy: -48.75 eV for the cell shown. As for the formation energy from raw total energies: 0.338 eV per atom.

Structure (CIF):
```
data_SiSnI2
_chemical_formula_sum 'Si4 Sn4 I8'
_cell_length_a 8.345
_cell_length_b 8.345
_cell_length_c 7.024
_cell_angle_alpha 90.00
_cell_angle_beta 90.00
_cell_angle_gamma 90.00
_symmetry_space_group_name_H-M 'I -4 2 d'
_symmetry_Int_Tables_number 122
_symmetry_space_group_name_Hall 'I -4 2bw'
loop_
_atom_site_label
_atom_site_type_symbol
_atom_site_fract_x
_atom_site_fract_y
_atom_site_fract_z
Si1 Si 0.000 0.000 0.000
Sn1 Sn 0.000 0.000 0.500
I1 I 0.222 0.250 0.125
```



Record 6
The following is a DFT calculation (PBEsol) of a geometry-optimized RuAuSN2 structure.

Values from the calculation:
The value obtained for the total moment is 2.53 μB/f.u. As for the total energy: -25.14 eV for the cell shown. As for the formation energy from raw total energies: 2.080 eV per atom.

Structure (CIF):
```
data_RuAuSN2
_chemical_formula_sum 'Ru1 Au1 S1 N2'
_cell_length_a 3.667
_cell_length_b 3.667
_cell_length_c 6.598
_cell_angle_alpha 90.00
_cell_angle_beta 90.00
_cell_angle_gamma 90.00
_symmetry_space_group_name_H-M 'P 4/m m m'
_symmetry_Int_Tables_number 123
_symmetry_space_group_name_Hall '-P 4 2'
loop_
_atom_site_label
_atom_site_type_symbol
_atom_site_fract_x
_atom_site_fract_y
_atom_site_fract_z
Ru1 Ru 0.000 0.000 0.000
Au1 Au 0.500 0.500 0.500
S1 S 0.500 0.500 0.000
N1 N 0.000 0.500 0.500
```



Record 7
The following is a DFT calculation (PBEsol) of a geometry-optimized RbCdSbCl2 structure.

Values from the calculation:
The value obtained for the total moment is 0.00 μB/f.u. As for the total energy: -12.47 eV for the cell shown. As for the formation energy from raw total energies: -0.334 eV per atom.

Structure (CIF):
```
data_RbCdSbCl2
_chemical_formula_sum 'Rb1 Cd1 Sb1 Cl2'
_cell_length_a 5.414
_cell_length_b 5.414
_cell_length_c 6.911
_cell_angle_alpha 90.00
_cell_angle_beta 90.00
_cell_angle_gamma 90.00
_symmetry_space_group_name_H-M 'P 4/m m m'
_symmetry_Int_Tables_number 123
_symmetry_space_group_name_Hall '-P 4 2'
loop_
_atom_site_label
_atom_site_type_symbol
_atom_site_fract_x
_atom_site_fract_y
_atom_site_fract_z
Rb1 Rb 0.000 0.000 0.000
Cd1 Cd 0.500 0.500 0.000
Sb1 Sb 0.000 0.000 0.500
Cl1 Cl 0.000 0.500 0.500
```



Record 8
The following is a DFT calculation (PBEsol) of a geometry-optimized MgPb3 structure.

Values from the calculation:
The value obtained for the total moment is 0.00 μB/f.u. As for the total energy: -27.55 eV for the cell shown. For the formation energy from the elements, the calculation gives -15 meV/atom.

Structure (CIF):
```
data_MgPb3
_chemical_formula_sum 'Mg2 Pb6'
_cell_length_a 4.708
_cell_length_b 4.708
_cell_length_c 10.091
_cell_angle_alpha 90.00
_cell_angle_beta 90.00
_cell_angle_gamma 90.00
_symmetry_space_group_name_H-M 'I 4/m m m'
_symmetry_Int_Tables_number 139
_symmetry_space_group_name_Hall '-I 4 2'
loop_
_atom_site_label
_atom_site_type_symbol
_atom_site_fract_x
_atom_site_fract_y
_atom_site_fract_z
Mg1 Mg 0.000 0.000 0.000
Pb1 Pb 0.000 0.000 0.500
Pb2 Pb 0.000 0.500 0.250
```